The following is a GGA-PBE calculation of an optimized crystal structure of Tm6ThSc4, from Alexandria via LeMat-Bulk.

Results
energy of formation: 4.4 eV per formula unit
ΔE to the lowest computed polymorph: 0.270 eV/atom
symmetry: No. 121
calculated density: 7.2 Mg/m³
E_tot: -5.01 eV/atom

Unit cell a=7.1845 b=7.1845 c=8.1812 alpha=116.05 beta=116.05 gamma=90.00
Fractional positions:
Tm1 0.9352 0.4466 0.3818
Tm2 0.4466 0.9352 0.3818
Tm3 0.5534 0.5534 0.6182
Tm4 0.0000 0.5000 0.0000
Tm5 0.0648 0.0648 0.6182
Tm6 0.5000 0.0000 0.0000
Th1 0.5000 0.5000 0.0000
Sc1 0.0799 0.7655 0.8454
Sc2 0.9201 0.9201 0.1546
Sc3 0.7655 0.0799 0.8454
Sc4 0.2345 0.2345 0.1546

---

The following is a GGA-PBE calculation of an optimized crystal structure of TaNb3S, from Alexandria via LeMat-Bulk.

Results
ΔE to the lowest computed polymorph: 0.051 eV/atom
ΔE_f (raw): -0.21 eV/atom
symmetry: No. 31
calculated density: 8.9 Mg/m³
E_tot: -9.45 eV/atom

Unit cell a=5.3413 b=5.1934 c=6.6114 alpha=90.00 beta=90.00 gamma=90.00
Fractional positions:
Ta1 0.4890 0.3641 0.7008
Ta2 0.9890 0.9887 0.2008
Nb1 0.3636 0.3661 0.2008
Nb2 0.4247 0.9175 0.9504
Nb3 0.9247 0.4352 0.4505
Nb4 0.8636 0.9867 0.7008
Nb5 0.9247 0.4352 0.9511
Nb6 0.4247 0.9175 0.4511
S1 0.1762 0.6747 0.7008
S2 0.6762 0.6781 0.2008

---

The following is a GGA-PBE calculation of an optimized crystal structure of CaRu2Se, from Alexandria via LeMat-Bulk.

Results
ΔE_f (raw): 0.20 eV/atom
symmetry: No. 122
calculated density: 6.7 Mg/m³
E_tot: -5.81 eV/atom

Unit cell a=7.4680 b=7.4680 c=6.0121 alpha=51.60 beta=51.60 gamma=90.00
Fractional positions:
Ru1 0.7157 0.1250 0.2500
Ru2 0.0343 0.6250 0.2500
Ru3 0.3750 0.2843 0.7500
Ru4 0.8750 0.9657 0.7500
Ca1 0.5000 0.5000 0.0000
Ca2 0.2500 0.7500 0.5000
Se1 0.0000 0.0000 0.0000
Se2 0.7500 0.2500 0.5000

---

The following is a GGA-PBE calculation of an optimized crystal structure of Pm2EuEr, from Alexandria via LeMat-Bulk.

Results
energy of formation: 0.5 eV per formula unit
ΔE to the lowest computed polymorph: 0.091 eV/atom
symmetry: No. 123
calculated density: 7.3 Mg/m³
E_tot: -5.95 eV/atom

Unit cell a=3.8457 b=5.9968 c=5.9968 alpha=90.00 beta=90.00 gamma=90.00
Site moments in Bohr magnetons follow the coordinates.
Fractional positions:
Eu1 0.5000 0.5000 0.5000  6.94
Pm1 0.0000 0.0000 0.5000  0.14
Pm2 0.0000 0.5000 0.0000  0.14
Er1 0.5000 0.0000 0.0000  0.06

---

The following is a GGA-PBE calculation of an optimized crystal structure of LiNbTc2, from Alexandria via LeMat-Bulk.

Results
energy of formation: 0.7 eV per formula unit
ΔE to the lowest computed polymorph: 0.000 eV/atom
symmetry: No. 225
calculated density: 8.3 Mg/m³
E_tot: -8.00 eV/atom

Unit cell a=4.3779 b=4.3779 c=4.3779 alpha=60.00 beta=60.00 gamma=60.00
Fractional positions:
Nb1 0.5000 0.5000 0.5000
Tc1 0.2500 0.2500 0.2500
Tc2 0.7500 0.7500 0.7500
Li1 0.0000 0.0000 0.0000

---

The following is a GGA-PBE calculation of an optimized crystal structure of MnBeAsSe2, from Alexandria via LeMat-Bulk.

Results
ΔE to the lowest computed polymorph: 0.205 eV/atom
ΔE_f (raw): 0.90 eV/atom
symmetry: No. 123
calculated density: 5.5 Mg/m³
E_tot: -4.01 eV/atom

Unit cell a=4.6135 b=4.6135 c=4.1833 alpha=90.00 beta=90.00 gamma=90.00
Fractional positions:
Be1 0.0000 0.0000 0.0000
As1 0.0000 0.0000 0.5000
Mn1 0.5000 0.5000 0.5000
Se1 0.0000 0.5000 0.0000
Se2 0.5000 0.0000 0.0000

---

The following is a GGA-PBE calculation of an optimized crystal structure of Sm3Sn2Rh6, from Alexandria via LeMat-Bulk.

Results
energy of formation: -7.6 eV per formula unit
symmetry: No. 229
calculated density: 9.8 Mg/m³
E_tot: -6.72 eV/atom

Unit cell a=8.3033 b=8.3033 c=8.3033 alpha=109.47 beta=109.47 gamma=109.47
Fractional positions:
Sm1 0.7087 0.0000 0.7087
Sm2 0.2913 0.0000 0.2913
Sm3 0.0000 0.2913 0.2913
Sm4 0.0000 0.7087 0.7087
Sm5 0.2913 0.2913 0.0000
Sm6 0.7087 0.7087 0.0000
Sn1 0.0000 0.5000 0.0000
Sn2 0.5000 0.0000 0.0000
Sn3 0.0000 0.0000 0.5000
Sn4 0.5000 0.5000 0.5000
Rh1 0.6511 0.3022 0.6511
Rh2 0.6511 0.0000 0.3489
Rh3 0.3489 0.0000 0.6511
Rh4 0.3489 0.6978 0.3489
Rh5 0.0000 0.6511 0.3489
Rh6 0.6978 0.3489 0.3489
Rh7 0.3022 0.6511 0.6511
Rh8 0.0000 0.3489 0.6511
Rh9 0.3489 0.6511 0.0000
Rh10 0.6511 0.6511 0.3022
Rh11 0.3489 0.3489 0.6978
Rh12 0.6511 0.3489 0.0000

---

The following is a GGA-PBE calculation of an optimized crystal structure of La2Cu4Si3Ge, from Alexandria via LeMat-Bulk.

Results
ΔE_f (raw): -0.54 eV/atom
symmetry: No. 115
calculated density: 6.5 Mg/m³
E_tot: -5.25 eV/atom

Unit cell a=4.1847 b=4.1847 c=10.0098 alpha=90.00 beta=90.00 gamma=90.00
Fractional positions:
La1 0.5000 0.0000 0.2456
La2 0.0000 0.5000 0.7544
Cu1 0.5000 0.5000 0.0000
Cu2 0.0000 0.0000 0.0000
Cu3 0.5000 0.0000 0.6320
Cu4 0.0000 0.5000 0.3680
Si1 0.0000 0.0000 0.5000
Si2 0.5000 0.0000 0.8732
Si3 0.0000 0.5000 0.1268
Ge1 0.5000 0.5000 0.5000

---

The following is a GGA-PBE calculation of an optimized crystal structure of CsTaBe, from Alexandria via LeMat-Bulk.

Results
energy of formation: 7.1 eV per formula unit
ΔE to the lowest computed polymorph: 1.884 eV/atom
symmetry: No. 216
calculated density: 6.9 Mg/m³
E_tot: -3.12 eV/atom

Unit cell a=4.7862 b=4.7862 c=4.7862 alpha=60.00 beta=60.00 gamma=60.00
Fractional positions:
Cs1 0.2500 0.2500 0.2500
Be1 0.0000 0.0000 0.0000
Ta1 0.7500 0.7500 0.7500

---

The following is a GGA-PBE calculation of an optimized crystal structure of La3TlCd, from Alexandria via LeMat-Bulk.

Results
energy of formation: -1.1 eV per formula unit
ΔE to the lowest computed polymorph: 0.072 eV/atom
symmetry: No. 2
calculated density: 7.4 Mg/m³
E_tot: -3.83 eV/atom

Unit cell a=5.3768 b=6.4556 c=10.5710 alpha=99.14 beta=89.21 gamma=114.55
Fractional positions:
La1 0.4561 0.8992 0.1452
La2 0.1223 0.2507 0.5985
La3 0.8337 0.6776 0.7844
La4 0.1663 0.3224 0.2156
La5 0.5439 0.1008 0.8548
La6 0.8777 0.7493 0.4015
Tl1 0.7828 0.5511 0.0960
Tl2 0.2172 0.4489 0.9040
Cd1 0.5999 0.1952 0.4255
Cd2 0.4001 0.8048 0.5745